No. 1
! KCo2Ni (GGA-PBE, optimized geometry); values from VASP
&SYSTEM
  ibrav = 0, nat = 4, ntyp = 3
/
ATOMIC_SPECIES
K 39.10 K.upf
Co 58.93 Co.upf
Ni 58.69 Ni.upf
CELL_PARAMETERS angstrom
-1.297 2.618 4.937
1.297 -2.618 4.937
1.297 2.618 -4.937
ATOMIC_POSITIONS crystal
K 0.000 0.000 0.000
Co 0.501 0.501 0.000
Co 0.700 0.200 0.500
Ni 0.297 0.797 0.500
! Size of the total moment in μB/f.u.: 4.1
! Relative energy among the computed polymorphs in meV per atom: 285.6
! VASP energy in eV/atom: -4.38
! ΔH_f (0 K) in meV/atom: 888

---

No. 2
! NiBi3I (GGA-PBE, optimized geometry); values from VASP
&SYSTEM
  ibrav = 0, nat = 5, ntyp = 3
/
ATOMIC_SPECIES
Ni 58.69 Ni.upf
Bi 208.98 Bi.upf
I 126.90 I.upf
CELL_PARAMETERS angstrom
5.893 0.000 0.000
0.000 5.893 0.000
0.000 0.000 5.893
ATOMIC_POSITIONS crystal
Ni 0.000 0.000 0.000
Bi 0.000 0.500 0.500
Bi 0.500 0.000 0.500
Bi 0.500 0.500 0.000
I 0.500 0.500 0.500
! Size of the total moment in μB/f.u.: 1.2
! Relative energy among the computed polymorphs in meV per atom: 1677.1
! E_form (uncorrected) in eV/atom: 1.54
! VASP energy in eV/atom: -2.26

---

No. 3
! Nd2Ge4PdPt3 (GGA-PBE, optimized geometry); values from VASP
&SYSTEM
  ibrav = 0, nat = 10, ntyp = 4
/
ATOMIC_SPECIES
Nd 144.24 Nd.upf
Ge 72.64 Ge.upf
Pd 106.42 Pd.upf
Pt 195.08 Pt.upf
CELL_PARAMETERS angstrom
4.384 0.000 0.000
0.000 4.384 0.000
0.000 0.000 10.083
ATOMIC_POSITIONS crystal
Nd 0.000 0.500 0.249
Nd 0.500 0.000 0.751
Ge 0.000 0.000 0.000
Ge 0.000 0.500 0.630
Ge 0.500 0.000 0.370
Ge 0.500 0.500 0.000
Pd 0.000 0.000 0.500
Pt 0.000 0.500 0.875
Pt 0.500 0.000 0.125
Pt 0.500 0.500 0.500
! Size of the total moment in μB/f.u.: 0.0
! VASP energy in eV/atom: -6.06
! ΔH_f (0 K) in meV/atom: -924

---

Please write out number 1 again, unchanged.
! KCo2Ni (GGA-PBE, optimized geometry); values from VASP
&SYSTEM
  ibrav = 0, nat = 4, ntyp = 3
/
ATOMIC_SPECIES
K 39.10 K.upf
Co 58.93 Co.upf
Ni 58.69 Ni.upf
CELL_PARAMETERS angstrom
-1.297 2.618 4.937
1.297 -2.618 4.937
1.297 2.618 -4.937
ATOMIC_POSITIONS crystal
K 0.000 0.000 0.000
Co 0.501 0.501 0.000
Co 0.700 0.200 0.500
Ni 0.297 0.797 0.500
! Size of the total moment in μB/f.u.: 4.1
! Relative energy among the computed polymorphs in meV per atom: 285.6
! VASP energy in eV/atom: -4.38
! ΔH_f (0 K) in meV/atom: 888